Record 1
PBE-GGA TbSm6In2, relaxed; DOS(E_F) = 1.402 states/eV/atom; total magnetization = 0.000 μB/atom; ΔE_f = -0.06 eV per atom
1.0
3.4436 0.0013 0.0013
1.7290 9.4301 2.5159
1.7290 2.9268 9.3107
Tb Sm In
1 6 2
direct
0.0000 0.0000 0.0000 Tb
0.3288 0.9831 0.3573 Sm
0.6712 0.0169 0.6427 Sm
0.6712 0.6427 0.0169 Sm
0.5000 0.3362 0.6638 Sm
0.5000 0.6638 0.3362 Sm
0.3288 0.3573 0.9831 Sm
0.1550 0.3470 0.3470 In
0.8450 0.6530 0.6530 In

Record 2
PBE-GGA Tb9SmIn2, relaxed; DOS(E_F) = 1.217 states/eV/atom; total magnetization = 0.000 μB/atom; ΔE_f = -0.17 eV per atom
1.0
-0.1759 -1.3391 4.7005
-4.3262 -2.1460 -0.7733
6.9908 -12.8662 -3.4037
Tb Sm In
9 1 2
direct
0.5000 0.5000 0.0000 Tb
0.5000 0.5000 0.3382 Tb
0.5000 0.5000 0.6618 Tb
0.5000 0.0000 0.1740 Tb
0.5000 0.0000 0.5000 Tb
0.5000 0.0000 0.8260 Tb
0.0000 0.5000 0.1740 Tb
0.0000 0.5000 0.5000 Tb
0.0000 0.5000 0.8260 Tb
0.0000 0.0000 0.0000 Sm
0.0000 0.0000 0.3393 In
0.0000 0.0000 0.6607 In

Record 3
PBE-GGA Tb4SmIn2, relaxed; DOS(E_F) = 1.100 states/eV/atom; total magnetization = 0.000 μB/atom; ΔE_f = -0.13 eV per atom
1.0
-5.9246 0.3518 -9.1141
-1.6625 -6.5735 0.8270
-3.6286 5.7939 2.5824
Tb Sm In
8 2 4
direct
0.8327 0.4953 0.9957 Tb
0.7799 0.4963 0.4952 Tb
0.7201 0.9963 0.4952 Tb
0.6673 0.9953 0.9957 Tb
0.3327 0.0047 0.0043 Tb
0.2799 0.0037 0.5048 Tb
0.2201 0.5037 0.5048 Tb
0.1673 0.5047 0.0043 Tb
0.0000 0.0000 0.0000 Sm
0.5000 0.5000 0.0000 Sm
0.9992 0.7626 0.4541 In
0.0008 0.2374 0.5459 In
0.4992 0.7374 0.5459 In
0.5008 0.2626 0.4541 In

Record 4
PBE-GGA Tb3SmIn2, relaxed; DOS(E_F) = 0.987 states/eV/atom; total magnetization = 0.000 μB/atom; ΔE_f = -0.36 eV per atom
1.0
5.2498 0.0000 0.0000
0.0000 6.7578 0.0000
0.0000 0.0000 9.8776
Tb Sm In
6 2 4
direct
0.0000 0.4680 0.9614 Tb
0.0000 0.9680 0.0386 Tb
0.5000 0.6885 0.1779 Tb
0.5000 0.1885 0.8221 Tb
0.0000 0.3113 0.3182 Tb
0.0000 0.8113 0.6818 Tb
0.5000 0.5333 0.5371 Sm
0.5000 0.0333 0.4629 Sm
0.5000 0.7135 0.8569 In
0.5000 0.2135 0.1431 In
0.0000 0.2852 0.6450 In
0.0000 0.7852 0.3550 In

Record 5
PBE-GGA TbSmIn, relaxed; DOS(E_F) = 1.311 states/eV/atom; total magnetization = 0.001 μB/atom; ΔE_f = -0.35 eV per atom
1.0
5.4689 0.0000 0.0000
-2.7345 4.7415 0.0000
0.0000 0.0000 6.7697
Sm Tb In
2 2 2
direct
0.0000 0.0000 0.0000 Sm
0.0000 0.0000 0.5000 Sm
0.6669 0.3338 0.2500 Tb
0.3331 0.6662 0.7500 Tb
0.3337 0.6673 0.2500 In
0.6663 0.3327 0.7500 In

Record 6
PBE-GGA Tb3Sm4In4, relaxed; DOS(E_F) = 0.964 states/eV/atom; total magnetization = 0.000 μB/atom; ΔE_f = -0.31 eV per atom
1.0
-2.7843 -2.2821 -0.6265
5.5934 -7.3654 1.9712
-3.9432 5.3765 8.5964
Tb Sm In
3 4 4
direct
0.0948 0.0948 0.1895 Tb
0.9052 0.9052 0.8105 Tb
0.0000 0.5000 0.0000 Tb
0.3377 0.1580 0.6753 Sm
0.6623 0.4827 0.3247 Sm
0.6623 0.8420 0.3247 Sm
0.3377 0.5173 0.6753 Sm
0.2730 0.7730 0.5461 In
0.7270 0.2270 0.4539 In
0.5000 0.7806 0.0000 In
0.5000 0.2194 0.0000 In

Record 7
PBE-GGA TbSm5In4, relaxed; DOS(E_F) = 1.038 states/eV/atom; total magnetization = 0.000 μB/atom; ΔE_f = -0.38 eV per atom
1.0
3.5893 0.0000 0.0000
0.0000 3.5893 0.0000
0.0000 0.0000 22.5959
Tb Sm In
1 5 4
direct
0.0000 0.0000 0.0000 Tb
0.5000 0.5000 0.1153 Sm
0.5000 0.5000 0.3071 Sm
0.5000 0.5000 0.5000 Sm
0.5000 0.5000 0.6929 Sm
0.5000 0.5000 0.8847 Sm
0.0000 0.0000 0.2108 In
0.0000 0.0000 0.4035 In
0.0000 0.0000 0.5965 In
0.0000 0.0000 0.7892 In

Record 8
PBE-GGA Tb2Sm3In7, relaxed; DOS(E_F) = 0.806 states/eV/atom; total magnetization = 0.000 μB/atom; ΔE_f = -0.23 eV per atom
1.0
-0.9730 4.1107 3.3793
0.4426 -3.2242 4.0495
12.1429 4.0523 -1.4333
Tb Sm In
2 3 7
direct
0.0000 0.8544 0.7088 Tb
0.0000 0.1456 0.2912 Tb
0.5000 0.5000 0.0000 Sm
0.5000 0.6563 0.3127 Sm
0.5000 0.3437 0.6873 Sm
0.0000 0.4258 0.8517 In
0.0000 0.7255 0.4510 In
0.0000 0.0000 0.0000 In
0.0000 0.5742 0.1483 In
0.5000 0.0789 0.1579 In
0.5000 0.9211 0.8421 In
0.0000 0.2745 0.5490 In